A geometry-optimized La2Tl8Cd structure. Source: the Alexandria database, functional PBE.

abc: 5.0700 5.0700 12.6359
angles: 90.00 90.00 90.00
Atoms (fractional coordinates):
La: 0.0000 0.0000 0.1875
La: 0.0000 0.0000 0.8125
Tl: 0.0000 0.5000 0.0000
Tl: 0.0000 0.5000 0.3649
Tl: 0.0000 0.5000 0.6351
Tl: 0.5000 0.0000 0.0000
Tl: 0.5000 0.0000 0.3649
Tl: 0.5000 0.0000 0.6351
Tl: 0.5000 0.5000 0.1840
Tl: 0.5000 0.5000 0.8160
Cd: 0.0000 0.0000 0.5000

Summary:
raw total energy: -2.92 eV per atom
total magnetic moment: 0.0 Bohr magnetons per cell
ΔH_f (0 K): -0.22 eV per atom
DOS(E_F): 5.36 states/eV/cell
symmetry: No. 123

A geometry-optimized LaTlCd structure. Source: the Alexandria database, functional PBE.

abc: 6.9035 5.1723 9.6288
angles: 90.00 90.00 90.00
Atoms (fractional coordinates):
La: 0.1861 0.2500 0.0836
La: 0.3139 0.7500 0.5836
La: 0.6861 0.2500 0.4164
La: 0.8139 0.7500 0.9164
Tl: 0.0383 0.2500 0.7383
Tl: 0.4617 0.7500 0.2383
Tl: 0.5383 0.2500 0.7617
Tl: 0.9617 0.7500 0.2617
Cd: 0.1651 0.2500 0.4160
Cd: 0.3349 0.7500 0.9160
Cd: 0.6651 0.2500 0.0840
Cd: 0.8349 0.7500 0.5840

Summary:
raw total energy: -3.09 eV per atom
total magnetic moment: 0.0 Bohr magnetons per cell
ΔH_f (0 K): -0.35 eV per atom
DOS(E_F): 5.36 states/eV/cell
symmetry: No. 62

A geometry-optimized La3Tl3Cd2 structure. Source: the Alexandria database, functional PBE.

abc: 6.4201 6.4201 16.2707
angles: 90.00 90.00 134.57
Atoms (fractional coordinates):
La: 0.0847 0.9153 0.6083
La: 0.0847 0.9153 0.8917
La: 0.3485 0.6515 0.7500
La: 0.6515 0.3485 0.2500
La: 0.9153 0.0847 0.1083
La: 0.9153 0.0847 0.3917
Tl: 0.3668 0.6332 0.2500
Tl: 0.3882 0.6118 0.5444
Tl: 0.3882 0.6118 0.9556
Tl: 0.6118 0.3882 0.0444
Tl: 0.6118 0.3882 0.4556
Tl: 0.6332 0.3668 0.7500
Cd: 0.2149 0.7851 0.1011
Cd: 0.2149 0.7851 0.3989
Cd: 0.7851 0.2149 0.6011
Cd: 0.7851 0.2149 0.8989

Summary:
raw total energy: -3.33 eV per atom
total magnetic moment: 0.3 Bohr magnetons per cell
ΔH_f (0 K): -0.36 eV per atom
DOS(E_F): 11.12 states/eV/cell
symmetry: No. 63

A geometry-optimized LaTlCd structure. Source: the Alexandria database, functional PBE.

abc: 3.6097 3.6097 7.9724
angles: 90.00 90.00 120.00
Atoms (fractional coordinates):
La: 0.0000 0.0000 0.0000
Tl: 0.3333 0.6667 0.3514
Cd: 0.6667 0.3333 0.6595

Summary:
raw total energy: -2.82 eV per atom
total magnetic moment: 0.0 Bohr magnetons per cell
ΔH_f (0 K): -0.08 eV per atom
DOS(E_F): 2.95 states/eV/cell
symmetry: No. 156

A geometry-optimized LaTlCd structure. Source: the Alexandria database, functional PBE.

abc: 3.4509 6.0935 8.3472
angles: 92.11 90.10 90.10
Atoms (fractional coordinates):
La: 0.0000 0.0000 0.0000
La: 0.0009 0.4115 0.3623
Tl: 0.5005 0.9017 0.3421
Tl: 0.5031 0.2101 0.6831
Cd: 0.4997 0.5032 0.0156
Cd: 0.4998 0.7068 0.6862

Summary:
raw total energy: -2.99 eV per atom
total magnetic moment: 0.0 Bohr magnetons per cell
ΔH_f (0 K): -0.25 eV per atom
DOS(E_F): 5.80 states/eV/cell
symmetry: No. 1

A geometry-optimized LaTlCd structure. Source: the Alexandria database, functional PBE.

abc: 5.0768 5.0768 7.6931
angles: 90.00 90.00 120.00
Atoms (fractional coordinates):
La: 0.0000 0.0000 0.0000
La: 0.0000 0.0000 0.5000
Tl: 0.3333 0.6667 0.2500
Tl: 0.6667 0.3333 0.7500
Cd: 0.3333 0.6667 0.7500
Cd: 0.6667 0.3333 0.2500

Summary:
raw total energy: -3.11 eV per atom
total magnetic moment: 0.0 Bohr magnetons per cell
ΔH_f (0 K): -0.37 eV per atom
DOS(E_F): 4.96 states/eV/cell
symmetry: No. 194

A geometry-optimized La2Tl2Cd structure. Source: the Alexandria database, functional PBE.

abc: 6.4184 6.4184 11.6062
angles: 114.42 114.42 45.72
Atoms (fractional coordinates):
La: 0.0201 0.0201 0.3372
La: 0.1736 0.1736 0.0944
La: 0.8264 0.8264 0.9056
La: 0.9799 0.9799 0.6628
Tl: 0.3569 0.3569 0.4307
Tl: 0.4651 0.4651 0.1180
Tl: 0.5349 0.5349 0.8820
Tl: 0.6431 0.6431 0.5693
Cd: 0.2798 0.2798 0.6622
Cd: 0.7202 0.7202 0.3378

Summary:
raw total energy: -3.47 eV per atom
total magnetic moment: 0.4 Bohr magnetons per cell
ΔH_f (0 K): -0.37 eV per atom
DOS(E_F): 7.59 states/eV/cell
ΔE to the lowest computed polymorph: 0.00 eV/f.u.
symmetry: No. 12

A geometry-optimized LaTlCd structure. Source: the Alexandria database, functional PBE.

abc: 3.7955 5.1105 8.8594
angles: 90.00 90.18 90.00
Atoms (fractional coordinates):
La: 0.0000 0.0000 0.0000
La: 0.0000 0.5000 0.5000
Tl: 0.4633 0.0000 0.3288
Tl: 0.5367 0.0000 0.6712
Cd: 0.4918 0.5000 0.8388
Cd: 0.5082 0.5000 0.1612

Summary:
raw total energy: -3.09 eV per atom
total magnetic moment: 0.0 Bohr magnetons per cell
ΔH_f (0 K): -0.36 eV per atom
DOS(E_F): 5.15 states/eV/cell
symmetry: No. 10

Look up the total magnetic moment of the first one. 0.0 Bohr magnetons per cell

What is the total magnetic moment in the first record? 0.0 Bohr magnetons per cell

What is the formula in the seventh record? La2Tl2Cd

Which formula does entry 3 have? La3Tl3Cd2